[1]
Entry from the Alexandria database: a relaxed structure of NaFeCo (GGA-PBE).

extended XYZ file:
```
12
Lattice="-4.8524 -0.6925 2.6573 0.1537 -3.9349 -0.7447 3.9859 -1.1644 6.9749" Properties=species:S:1:pos:R:3 pbc="T T T"
Na -2.5194 -2.1018 5.1931
Fe -1.2314 -2.5601 7.8805
Fe 0.5186 -3.2317 1.0070
Co -0.4069 -4.0584 5.1838
Co 3.2484 -4.0712 6.0059
Na -1.5635 -1.3260 1.2914
Co -3.9612 -1.7206 2.8816
Fe -1.4698 -3.7059 3.1019
Co -0.3059 -1.7334 3.7037
Fe 0.7570 -2.0859 5.7856
Na 1.8065 -3.6900 3.6944
Na 0.8507 -4.4658 7.5961
```

- DFT formation energy (meV per atom) = 675
- DOS(E_F) (states/eV/atom) = 0.4009

=====

[2]
Entry from the Alexandria database: a relaxed structure of NaFeCo (GGA-PBE).

extended XYZ file:
```
6
Lattice="-4.7509 -2.2505 3.2523 1.7024 -1.6641 1.3373 -1.2699 4.3563 4.2581" Properties=species:S:1:pos:R:3 pbc="T T T"
Co -3.4755 -0.8656 3.1326
Na -1.2384 0.4698 4.7403
Na -3.6938 -0.8842 6.1767
Fe -5.2266 1.3319 8.1049
Fe -1.4073 -0.0823 1.4737
Co -3.1580 2.1148 6.4456
```

- DFT formation energy (meV per atom) = 500
- DOS(E_F) (states/eV/atom) = 0.8579

=====

[3]
Entry from the Alexandria database: a relaxed structure of NaFeCo (GGA-PBE).

extended XYZ file:
```
6
Lattice="3.8221 0.0000 0.0000 0.0000 3.8221 0.0000 0.0000 0.0000 7.2540" Properties=species:S:1:pos:R:3 pbc="T T T"
Fe 0.0000 0.0000 3.6270
Fe 1.9110 1.9110 3.6270
Na 1.9110 0.0000 6.1815
Co 1.9110 0.0000 2.2862
Co 0.0000 1.9110 4.9679
Na 0.0000 1.9110 1.0725
```

- DFT formation energy (meV per atom) = 444
- DOS(E_F) (states/eV/atom) = 0.3785

=====

[4]
Entry from the Alexandria database: a relaxed structure of NaFeCo (GGA-PBE).

extended XYZ file:
```
6
Lattice="-2.1224 1.3525 3.3198 3.2686 -2.5324 0.5076 3.8251 5.0175 0.4013" Properties=species:S:1:pos:R:3 pbc="T T T"
Fe 2.1008 -0.4121 1.5110
Na 1.5871 2.5663 2.5830
Co 0.6718 0.8812 0.0705
Fe 4.6675 2.9547 1.7803
Co 3.1533 4.1363 0.3308
Na -0.3254 0.0575 2.3824
```

- DFT formation energy (meV per atom) = 946
- DOS(E_F) (states/eV/atom) = 0.7511

=====

[5]
Entry from the Alexandria database: a relaxed structure of Na2Fe2Co (GGA-PBE).

extended XYZ file:
```
10
Lattice="-1.3628 -3.5820 -4.4525 4.0293 -3.8482 1.8626 -3.5705 -2.3100 2.9513" Properties=species:S:1:pos:R:3 pbc="T T T"
Co 1.3332 -3.7151 -1.2949
Fe 1.3982 -5.5430 -2.6471
Co 0.0000 0.0000 0.0000
Na -1.4662 -2.9954 0.4211
Na 0.5622 -6.7448 -0.0596
Na 0.7241 -4.4577 1.9264
Fe 1.2683 -1.8873 0.0573
Fe -0.3123 -2.8194 -2.5847
Na -1.6281 -5.2826 -1.5650
Fe 2.9788 -4.6108 -0.0051
```

- DFT formation energy (meV per atom) = 679
- DOS(E_F) (states/eV/atom) = 0.7879

=====

[6]
Entry from the Alexandria database: a relaxed structure of NaFeCo (GGA-PBE).

extended XYZ file:
```
6
Lattice="-1.9941 -2.1518 2.5569 2.3210 -1.7258 -2.6038 6.4212 0.4759 5.4084" Properties=species:S:1:pos:R:3 pbc="T T T"
Fe 4.2602 -1.6528 4.8930
Co 5.6985 -1.5108 3.1728
Fe 2.4879 -1.7488 0.4686
Co 1.0495 -1.8908 2.1888
Na 0.0000 0.0000 0.0000
Na 3.2106 0.2380 2.7042
```

- DFT formation energy (meV per atom) = 877
- DOS(E_F) (states/eV/atom) = 1.0529

=====

[7]
Entry from the Alexandria database: a relaxed structure of NaFeCo (GGA-PBE).

extended XYZ file:
```
6
Lattice="3.8807 -2.2405 0.0000 0.0000 4.4810 0.0000 0.0000 0.0000 5.0246" Properties=species:S:1:pos:R:3 pbc="T T T"
Co 2.5871 0.0000 5.0240
Na 0.0000 0.0000 3.7697
Fe 2.5871 0.0000 2.5117
Na 0.0000 0.0000 1.2574
Co 1.2936 2.2405 2.5117
Fe 1.2936 2.2405 5.0240
```

- DFT formation energy (meV per atom) = 706
- DOS(E_F) (states/eV/atom) = 0.8081

=====

[8]
Entry from the Alexandria database: a relaxed structure of NaFeCo (GGA-PBE).

extended XYZ file:
```
6
Lattice="-1.1244 -1.9145 -1.4292 -0.4152 -7.4889 10.5525 -2.3868 0.9599 0.5922" Properties=species:S:1:pos:R:3 pbc="T T T"
Fe -0.4845 -1.0907 1.0108
Na -0.6573 -4.4442 5.8264
Co -2.5985 -8.0953 9.8140
Co -2.4928 -6.2921 7.3158
Na -2.3223 -3.0727 2.6684
Fe -0.7861 -6.6528 8.8956
```

- DFT formation energy (meV per atom) = 452
- DOS(E_F) (states/eV/atom) = 1.1786